{"formula": "Pr4Au2C", "functional": "PBE", "state": "relaxed", "energy_ev_per_atom": -5.3425, "density_g_cm3": 8.2, "e_form_mev_per_atom": -357, "dos_at_fermi_per_ev_atom": 1.228, "lattice": [[5.121, 0.000, 0.000], [0.000, 5.121, 0.000], [2.561, 2.561, 7.472]], "species": ["Pr", "Pr", "Pr", "Pr", "C", "Au", "Au"], "frac_coords": [[0.174, 0.174, 0.652], [0.826, 0.826, 0.348], [0.000, 0.500, 0.000], [0.500, 0.000, 0.000], [0.000, 0.000, 0.000], [0.373, 0.373, 0.254], [0.627, 0.627, 0.746]]}

{"formula": "Y2PIrS", "functional": "PBE", "state": "relaxed", "energy_ev_per_atom": -6.7287, "density_g_cm3": 5.7, "raw_formation_energy_mev_per_atom": -463, "dos_at_fermi_per_ev_atom": 0.487, "lattice": [[5.440, 0.000, 0.000], [0.000, 4.269, 0.000], [0.000, 0.000, 5.440]], "species": ["Y", "Y", "P", "S", "Ir"], "frac_coords": [[0.000, 0.000, 0.500], [0.500, 0.000, 0.000], [0.500, 0.500, 0.500], [0.000, 0.500, 0.000], [0.000, 0.000, 0.000]]}

{"formula": "HOsNO2", "functional": "PBE", "state": "relaxed", "energy_ev_per_atom": -5.2860, "density_g_cm3": 10.3, "dos_at_fermi_per_ev_atom": 0.788, "lattice": [[3.821, 0.000, 0.000], [0.000, 3.821, 0.000], [0.000, 0.000, 2.610]], "species": ["H", "Os", "O", "O", "N"], "frac_coords": [[0.000, 0.000, 0.000], [0.500, 0.500, 0.500], [0.000, 0.500, 0.000], [0.500, 0.000, 0.000], [0.000, 0.000, 0.500]]}

{"formula": "Tb3Pm2Pr6Tl", "functional": "PBE", "state": "relaxed", "energy_ev_per_atom": -4.5590, "density_g_cm3": 7.5, "e_form_mev_per_atom": -23, "dos_at_fermi_per_ev_atom": 1.183, "lattice": [[6.281, -0.009, 0.001], [-3.147, 5.436, 0.001], [-1.059, -1.833, 11.801]], "species": ["Tb", "Tb", "Tb", "Pm", "Pm", "Pr", "Pr", "Pr", "Pr", "Pr", "Pr", "Tl"], "frac_coords": [[0.168, 0.832, 0.500], [0.832, 0.168, 0.500], [0.500, 0.500, 0.500], [0.334, 0.666, 0.000], [0.666, 0.334, 0.000], [0.917, 0.590, 0.750], [0.757, 0.757, 0.251], [0.083, 0.410, 0.250], [0.590, 0.917, 0.750], [0.243, 0.243, 0.749], [0.410, 0.083, 0.250], [0.000, 0.000, 0.000]]}

{"formula": "K2HfTlCl6", "functional": "PBE", "state": "relaxed", "energy_ev_per_atom": -4.1349, "density_g_cm3": 3.3, "raw_formation_energy_mev_per_atom": -1575, "lattice": [[8.553, 0.000, 0.000], [4.277, 7.407, 0.000], [4.277, 2.469, 10.856]], "species": ["K", "K", "K", "K", "Hf", "Hf", "Tl", "Tl", "Cl", "Cl", "Cl", "Cl", "Cl", "Cl", "Cl", "Cl", "Cl", "Cl", "Cl", "Cl"], "frac_coords": [[0.870, 0.870, 0.390], [0.130, 0.130, 0.610], [0.738, 0.738, 0.786], [0.262, 0.262, 0.214], [0.000, 0.000, 0.000], [0.500, 0.500, 0.500], [0.600, 0.600, 0.200], [0.400, 0.400, 0.800], [0.856, 0.374, 0.396], [0.374, 0.856, 0.396], [0.374, 0.374, 0.396], [0.144, 0.626, 0.604], [0.626, 0.144, 0.604], [0.626, 0.626, 0.604], [0.782, 0.177, 0.864], [0.177, 0.782, 0.864], [0.177, 0.177, 0.864], [0.218, 0.823, 0.136], [0.823, 0.218, 0.136], [0.823, 0.823, 0.136]]}

{"formula": "In2Ni2Ir", "functional": "PBE", "state": "relaxed", "energy_ev_per_atom": -5.1110, "density_g_cm3": 11.5, "e_form_mev_per_atom": 69, "dos_at_fermi_per_ev_atom": 0.554, "lattice": [[-3.249, -0.414, 6.150], [2.535, -6.426, 0.907], [2.581, 1.222, 1.446]], "species": ["Ni", "Ni", "Ni", "Ni", "Ir", "Ir", "In", "In", "In", "In"], "frac_coords": [[0.378, 0.878, 0.000], [0.878, 0.622, 0.000], [0.622, 0.122, 0.000], [0.122, 0.378, 0.000], [0.000, 0.000, 0.000], [0.500, 0.500, 0.000], [0.176, 0.676, 0.500], [0.676, 0.824, 0.500], [0.824, 0.324, 0.500], [0.324, 0.176, 0.500]]}

{"formula": "In2Sb2Ir", "functional": "PBE", "state": "relaxed", "energy_ev_per_atom": -3.9981, "density_g_cm3": 8.6, "e_above_lowest_polymorph_ev_per_atom": 0.436, "raw_formation_energy_mev_per_atom": 518, "dos_at_fermi_per_ev_atom": 0.624, "lattice": [[3.830, 0.000, 0.000], [0.000, 3.830, 0.000], [1.915, 1.915, 8.786]], "species": ["Sb", "Sb", "Ir", "In", "In"], "frac_coords": [[0.420, 0.420, 0.161], [0.580, 0.580, 0.839], [0.000, 0.000, 0.000], [0.750, 0.250, 0.500], [0.250, 0.750, 0.500]]}

{"formula": "In2As2F", "functional": "PBE", "state": "relaxed", "energy_ev_per_atom": -3.7743, "density_g_cm3": 5.8, "e_above_lowest_polymorph_ev_per_atom": 0.000, "raw_formation_energy_mev_per_atom": -445, "dos_at_fermi_per_ev_atom": 0.360, "lattice": [[-3.547, 0.180, -1.314], [1.081, -1.785, -3.160], [-2.848, -7.799, 1.163]], "species": ["As", "As", "F", "In", "In"], "frac_coords": [[0.750, 0.250, 0.500], [0.250, 0.750, 0.500], [0.000, 0.000, 0.000], [0.409, 0.409, 0.183], [0.591, 0.591, 0.817]]}

{"formula": "Tc2SbBr", "functional": "PBE", "state": "relaxed", "energy_ev_per_atom": -5.8036, "density_g_cm3": 8.8, "e_above_lowest_polymorph_ev_per_atom": 0.727, "raw_formation_energy_mev_per_atom": 828, "dos_at_fermi_per_ev_atom": 1.360, "lattice": [[-2.467, 1.636, 1.154], [-0.462, -2.782, -1.465], [0.801, -4.085, 7.503]], "species": ["Sb", "Tc", "Tc", "Br"], "frac_coords": [[0.500, 0.500, 0.750], [0.000, 0.000, 0.994], [0.000, 0.000, 0.506], [0.500, 0.500, 0.250]]}

{"formula": "YTl2P", "functional": "PBE", "state": "relaxed", "energy_ev_per_atom": -4.2513, "density_g_cm3": 8.9, "e_form_mev_per_atom": -100, "e_above_lowest_polymorph_ev_per_atom": 0.415, "dos_at_fermi_per_ev_atom": 0.751, "lattice": [[-0.721, -3.958, 3.287], [-4.768, -1.923, 0.744], [-1.217, -4.708, -1.829]], "species": ["Y", "Tl", "Tl", "P"], "frac_coords": [[0.250, 0.250, 0.250], [0.000, 0.000, 0.000], [0.750, 0.750, 0.750], [0.500, 0.500, 0.500]]}

{"formula": "AcErTlRu", "functional": "PBE", "state": "relaxed", "energy_ev_per_atom": -5.1554, "density_g_cm3": 11.0, "e_form_mev_per_atom": -77, "dos_at_fermi_per_ev_atom": 0.662, "lattice": [[-1.335, 3.748, -3.506], [-1.564, -1.369, -4.878], [-5.070, 0.609, -1.427]], "species": ["Ru", "Ac", "Tl", "Er"], "frac_coords": [[0.750, 0.750, 0.750], [0.000, 0.000, 0.000], [0.250, 0.250, 0.250], [0.500, 0.500, 0.500]]}

{"formula": "LiTh2Mg", "functional": "PBE", "state": "relaxed", "energy_ev_per_atom": -4.3924, "density_g_cm3": 7.5, "e_form_mev_per_atom": 195, "e_above_lowest_polymorph_ev_per_atom": 0.007, "dos_at_fermi_per_ev_atom": 1.439, "lattice": [[4.760, 0.000, 0.000], [0.000, 4.790, 0.000], [0.000, 0.000, 4.790]], "species": ["Mg", "Th", "Th", "Li"], "frac_coords": [[0.500, 0.000, 0.000], [0.000, 0.000, 0.500], [0.000, 0.500, 0.000], [0.500, 0.500, 0.500]]}

{"formula": "PuCuGeH", "functional": "PBE", "state": "relaxed", "energy_ev_per_atom": -6.9388, "density_g_cm3": 10.7, "dos_at_fermi_per_ev_atom": 2.599, "lattice": [[-0.996, -2.102, 3.569], [-1.911, -1.010, -3.670], [2.704, -2.502, -0.719]], "species": ["Pu", "Cu", "Ge", "H"], "frac_coords": [[0.572, 0.144, 0.310], [0.239, 0.477, 0.810], [0.905, 0.811, 0.809], [0.239, 0.477, 0.310]]}

{"formula": "CaPuZnO6", "functional": "PBE", "state": "relaxed", "energy_ev_per_atom": -7.3395, "density_g_cm3": 5.8, "raw_formation_energy_mev_per_atom": -2078, "dos_at_fermi_per_ev_atom": 0.537, "lattice": [[5.365, 0.000, 0.000], [-2.682, 4.646, 0.000], [0.000, 0.000, 10.151]], "species": ["Ca", "Ca", "Pu", "Pu", "Zn", "Zn", "O", "O", "O", "O", "O", "O", "O", "O", "O", "O", "O", "O"], "frac_coords": [[0.000, 0.000, 0.000], [0.000, 0.000, 0.500], [0.667, 0.333, 0.250], [0.333, 0.667, 0.750], [0.333, 0.667, 0.250], [0.667, 0.333, 0.750], [0.651, 0.632, 0.141], [0.981, 0.349, 0.141], [0.349, 0.981, 0.641], [0.019, 0.651, 0.859], [0.368, 0.349, 0.359], [0.981, 0.632, 0.359], [0.632, 0.981, 0.859], [0.651, 0.019, 0.359], [0.019, 0.368, 0.641], [0.368, 0.019, 0.141], [0.632, 0.651, 0.641], [0.349, 0.368, 0.859]]}

{"formula": "Rb2HfNi2S4", "functional": "PBE", "state": "relaxed", "energy_ev_per_atom": -5.4760, "density_g_cm3": 5.2, "raw_formation_energy_mev_per_atom": -1036, "dos_at_fermi_per_ev_atom": 0.692, "lattice": [[-1.865, 2.831, -1.541], [2.638, -2.096, -7.044], [-5.011, -4.755, 1.830]], "species": ["Rb", "Rb", "Hf", "Ni", "Ni", "S", "S", "S", "S"], "frac_coords": [[0.136, 0.559, 0.272], [0.864, 0.441, 0.728], [0.000, 0.000, 0.000], [0.683, 0.993, 0.365], [0.317, 0.007, 0.635], [0.195, 0.159, 0.389], [0.805, 0.841, 0.611], [0.521, 0.784, 0.042], [0.479, 0.216, 0.958]]}

{"formula": "Ho5Tm3H12", "functional": "PBE", "state": "relaxed", "energy_ev_per_atom": -4.2930, "density_g_cm3": 8.3, "dos_at_fermi_per_ev_atom": 0.480, "lattice": [[11.176, 0.000, 0.000], [-3.725, 10.537, 0.000], [-3.725, -5.268, 9.125]], "species": ["Tm", "Tm", "Tm", "Tm", "Tm", "Tm", "Tm", "Tm", "Tm", "Tm", "Tm", "Tm", "Ho", "Ho", "Ho", "Ho", "Ho", "Ho", "Ho", "Ho", "Ho", "Ho", "Ho", "Ho", "Ho", "Ho", "Ho", "Ho", "Ho", "Ho", "Ho", "Ho", "H", "H", "H", "H", "H", "H", "H", "H", "H", "H", "H", "H", "H", "H", "H", "H", "H", "H", "H", "H", "H", "H", "H", "H", "H", "H", "H", "H", "H", "H", "H", "H", "H", "H", "H", "H", "H", "H", "H", "H", "H", "H", "H", "H", "H", "H", "H", "H"], "frac_coords": [[0.750, 0.375, 0.125], [0.875, 0.750, 0.125], [0.375, 0.750, 0.625], [0.250, 0.125, 0.375], [0.875, 0.125, 0.250], [0.375, 0.625, 0.250], [0.625, 0.375, 0.750], [0.125, 0.875, 0.750], [0.750, 0.875, 0.625], [0.625, 0.250, 0.375], [0.125, 0.250, 0.875], [0.250, 0.625, 0.875], [0.125, 0.375, 0.250], [0.000, 0.500, 0.000], [0.000, 0.000, 0.000], [0.375, 0.250, 0.125], [0.500, 0.000, 0.500], [0.500, 0.500, 0.000], [0.125, 0.750, 0.375], [0.750, 0.125, 0.875], [0.750, 0.625, 0.375], [0.375, 0.125, 0.750], [0.625, 0.875, 0.250], [0.500, 0.500, 0.500], [0.500, 0.000, 0.000], [0.000, 0.000, 0.500], [0.250, 0.375, 0.625], [0.250, 0.875, 0.125], [0.000, 0.500, 0.500], [0.875, 0.250, 0.625], [0.625, 0.750, 0.875], [0.875, 0.625, 0.750], [0.723, 0.157, 0.066], [0.343, 0.566, 0.410], [0.934, 0.343, 0.277], [0.566, 0.223, 0.157], [0.567, 0.723, 0.657], [0.934, 0.590, 0.157], [0.343, 0.777, 0.433], [0.090, 0.933, 0.157], [0.590, 0.934, 0.657], [0.723, 0.567, 0.157], [0.777, 0.434, 0.343], [0.843, 0.910, 0.066], [0.157, 0.723, 0.566], [0.343, 0.410, 0.067], [0.067, 0.910, 0.343], [0.433, 0.157, 0.590], [0.067, 0.157, 0.223], [0.434, 0.657, 0.090], [0.843, 0.933, 0.277], [0.157, 0.433, 0.090], [0.343, 0.934, 0.777], [0.590, 0.657, 0.433], [0.910, 0.843, 0.566], [0.777, 0.343, 0.933], [0.410, 0.343, 0.567], [0.090, 0.157, 0.434], [0.223, 0.657, 0.067], [0.157, 0.067, 0.723], [0.657, 0.066, 0.223], [0.843, 0.567, 0.910], [0.566, 0.343, 0.910], [0.567, 0.843, 0.410], [0.933, 0.843, 0.777], [0.933, 0.090, 0.657], [0.843, 0.277, 0.434], [0.157, 0.090, 0.934], [0.657, 0.590, 0.933], [0.410, 0.066, 0.343], [0.277, 0.433, 0.843], [0.223, 0.566, 0.657], [0.910, 0.067, 0.843], [0.657, 0.223, 0.567], [0.434, 0.777, 0.843], [0.066, 0.410, 0.843], [0.433, 0.277, 0.343], [0.066, 0.657, 0.723], [0.657, 0.434, 0.590], [0.277, 0.843, 0.934]]}

{"formula": "Pr4Sm10Y", "functional": "PBE", "state": "relaxed", "energy_ev_per_atom": -4.5335, "density_g_cm3": 6.8, "e_form_mev_per_atom": 318, "dos_at_fermi_per_ev_atom": 1.383, "lattice": [[9.713, 0.000, 4.386], [4.856, 7.029, 2.193], [1.964, 0.000, 8.599]], "species": ["Pr", "Pr", "Pr", "Pr", "Sm", "Sm", "Sm", "Sm", "Sm", "Sm", "Sm", "Sm", "Sm", "Sm", "Y"], "frac_coords": [[0.330, 0.731, 0.609], [0.939, 0.391, 0.731], [0.061, 0.609, 0.269], [0.670, 0.269, 0.391], [0.250, 0.500, 0.500], [0.546, 0.322, 0.907], [0.131, 0.093, 0.322], [0.546, 0.907, 0.678], [0.776, 0.678, 0.093], [0.454, 0.678, 0.093], [0.750, 0.500, 0.500], [0.224, 0.322, 0.907], [0.454, 0.093, 0.322], [0.869, 0.907, 0.678], [0.000, 0.000, 0.000]]}

{"formula": "ScMo2Ir", "functional": "PBE", "state": "relaxed", "energy_ev_per_atom": -9.1263, "density_g_cm3": 11.0, "e_form_mev_per_atom": 87, "e_above_lowest_polymorph_ev_per_atom": 0.349, "dos_at_fermi_per_ev_atom": 1.083, "lattice": [[4.497, 0.000, 0.000], [0.000, 4.497, 0.000], [0.000, 0.000, 3.203]], "species": ["Ir", "Mo", "Mo", "Sc"], "frac_coords": [[0.000, 0.500, 0.500], [0.000, 0.000, 0.000], [0.500, 0.500, 0.000], [0.500, 0.000, 0.500]]}

{"formula": "ErThMgCu", "functional": "PBE", "state": "relaxed", "energy_ev_per_atom": -4.3788, "density_g_cm3": 8.3, "e_form_mev_per_atom": 40, "dos_at_fermi_per_ev_atom": 1.215, "lattice": [[-1.428, 4.002, -2.953], [-4.984, 1.363, -0.276], [-1.605, 4.398, 2.204]], "species": ["Mg", "Cu", "Th", "Er"], "frac_coords": [[0.750, 0.750, 0.750], [0.250, 0.250, 0.250], [0.000, 0.000, 0.000], [0.500, 0.500, 0.500]]}

{"formula": "ZrAgRh", "functional": "PBE", "state": "relaxed", "energy_ev_per_atom": -6.5075, "density_g_cm3": 9.4, "e_form_mev_per_atom": -257, "e_above_lowest_polymorph_ev_per_atom": 0.157, "dos_at_fermi_per_ev_atom": 0.878, "lattice": [[-2.853, -3.085, -1.778], [0.661, 0.162, 4.512], [-2.248, 1.929, 0.260]], "species": ["Ag", "Rh", "Zr"], "frac_coords": [[0.000, 0.000, 0.015], [0.333, 0.667, 0.365], [0.667, 0.333, 0.619]]}

{"formula": "ZrTc2Ru", "functional": "PBE", "state": "relaxed", "energy_ev_per_atom": -9.5448, "density_g_cm3": 10.0, "e_form_mev_per_atom": 94, "e_above_lowest_polymorph_ev_per_atom": 0.155, "dos_at_fermi_per_ev_atom": 1.684, "lattice": [[3.691, -0.599, 2.498], [2.287, 3.561, 1.521], [-0.063, 1.008, 4.382]], "species": ["Ru", "Tc", "Tc", "Zr"], "frac_coords": [[0.500, 0.500, 0.500], [0.250, 0.250, 0.250], [0.750, 0.750, 0.750], [0.000, 0.000, 0.000]]}

{"formula": "NaYP2S", "functional": "PBE", "state": "relaxed", "energy_ev_per_atom": -4.2214, "density_g_cm3": 3.1, "e_above_lowest_polymorph_ev_per_atom": 0.402, "raw_formation_energy_mev_per_atom": 325, "dos_at_fermi_per_ev_atom": 0.689, "lattice": [[-4.575, -1.039, -0.843], [1.321, -3.036, -3.429], [0.212, -3.559, 3.233]], "species": ["Y", "P", "P", "S", "Na"], "frac_coords": [[0.500, 0.500, 0.500], [0.000, 0.500, 0.000], [0.500, 0.000, 0.000], [0.000, 0.000, 0.500], [0.000, 0.000, 0.000]]}